VASP calculation (PBE-GGA) on an optimized crystal structure of Ac8Dy3Ho2.

Lattice parameters (Å, degrees): 6.645 6.616 12.608 69.66 84.86 80.26
Sites, in units of the cell vectors:
Ac  0.083  0.393  0.150
Ac  0.917  0.607  0.850
Ac  0.153  0.773  0.308
Ac  0.847  0.227  0.692
Ac  0.384  0.922  0.776
Ac  0.307  0.546  0.616
Ac  0.693  0.454  0.384
Ac  0.616  0.078  0.224
Dy  0.000  0.000  0.000
Dy  0.462  0.299  0.927
Dy  0.538  0.701  0.073
Ho  0.766  0.851  0.537
Ho  0.234  0.149  0.463

Results
volume	511.9	Å³ per cell
E	-0.155	Ha/atom
formation energy	0.843	eV/f.u.
magnetization	0.0	μB/cell